A geometry-optimized CsCe2Cl11 structure, computed with PBE.

Values from the calculation:
- Energy relative to the elements, uncorrected: -1.61 eV per atom

a = 10.883 Å, b = 12.125 Å, c = 12.125 Å
α = 71.30°, β = 63.33°, γ = 63.33°
Positions (direct):
1 Cl 0.503 0.337 0.663
2 Cl 0.997 0.837 0.163
3 Cl 0.068 0.747 0.474
4 Cs 0.750 0.750 0.750
5 Cl 0.432 0.026 0.753
6 Cl 0.003 0.163 0.837
7 Cl 0.932 0.253 0.526
8 Cl 0.925 0.523 0.256
9 Cl 0.704 0.744 0.478
10 Ce 0.247 0.751 0.249
11 Cl 0.575 0.244 0.977
12 Cs 0.250 0.250 0.250
13 Cl 0.425 0.756 0.023
14 Cl 0.296 0.256 0.522
15 Cl 0.711 0.474 0.747
16 Cl 0.204 0.977 0.244
17 Ce 0.253 0.251 0.749
18 Cl 0.211 0.247 0.974
19 Cl 0.000 0.000 0.000
20 Cl 0.568 0.974 0.247
21 Cl 0.497 0.663 0.337
22 Cl 0.789 0.753 0.026
23 Cl 0.500 0.500 0.500
24 Ce 0.747 0.749 0.251
25 Cl 0.075 0.477 0.744
26 Ce 0.753 0.249 0.751
27 Cl 0.796 0.023 0.756
28 Cl 0.289 0.526 0.253


A geometry-optimized PmMg11Ir structure, computed with PBE.

Values from the calculation:
- Energy relative to the elements: -0.128 eV per atom
- Fermi-level density of states: 0.502 states/eV per atom

a = 5.649 Å, b = 7.668 Å, c = 7.702 Å
α = 82.41°, β = 68.49°, γ = 68.89°
Positions (direct):
1 Mg 0.966 0.363 0.669
2 Mg 0.494 0.778 0.203
3 Mg 0.000 0.000 0.500
4 Mg 0.697 0.778 0.797
5 Mg 0.500 0.000 0.500
6 Mg 0.635 0.363 0.331
7 Mg 0.365 0.637 0.669
8 Mg 0.506 0.222 0.797
9 Mg 0.303 0.222 0.203
10 Mg 0.000 0.500 0.000
11 Mg 0.034 0.637 0.331
12 Pm 0.000 0.000 0.000
13 Ir 0.500 0.500 0.000


A geometry-optimized Cd4Hg5 structure, computed with PBE.

Values from the calculation:
- Energy relative to the elements: 0.040 eV per atom
- Fermi-level density of states: 0.347 states/eV per atom

a = 9.056 Å, b = 9.056 Å, c = 6.383 Å
α = 90.00°, β = 90.00°, γ = 60.00°
Positions (direct):
1 Cd 0.630 0.370 0.250
2 Hg 0.703 0.000 0.250
3 Cd 0.000 0.000 0.000
4 Cd 0.630 0.000 0.750
5 Hg 0.297 0.703 0.250
6 Cd 0.370 0.000 0.250
7 Hg 0.667 0.667 0.500
8 Cd 0.000 0.000 0.500
9 Hg 0.333 0.333 0.500
10 Hg 0.703 0.297 0.750
11 Hg 0.667 0.667 0.000
12 Hg 0.000 0.703 0.750
13 Hg 0.297 0.000 0.750
14 Hg 0.333 0.333 0.000
15 Hg 0.000 0.297 0.250
16 Cd 0.000 0.370 0.750
17 Cd 0.000 0.630 0.250
18 Cd 0.370 0.630 0.750


A geometry-optimized YCdCu2 structure, computed with PBE.

Values from the calculation:
- Energy relative to the elements: -0.070 eV per atom
- Fermi-level density of states: 0.524 states/eV per atom

a = 5.170 Å, b = 5.170 Å, c = 5.170 Å
α = 136.08°, β = 125.20°, γ = 72.74°
Positions (direct):
1 Cu 0.784 0.284 0.500
2 Cd 0.231 0.731 0.500
3 Y 0.512 0.512 0.000
4 Cu 0.973 0.973 0.000


A geometry-optimized CsRbCd2Ga structure, computed with PBE.

Values from the calculation:
- Energy relative to the elements: 0.073 eV per atom
- Fermi-level density of states: 0.363 states/eV per atom

a = 5.594 Å, b = 5.594 Å, c = 6.653 Å
α = 90.00°, β = 90.00°, γ = 90.00°
Positions (direct):
1 Cd 0.000 0.500 0.000
2 Rb 0.000 0.000 0.500
3 Ga 0.000 0.000 0.000
4 Cd 0.500 0.000 0.000
5 Cs 0.500 0.500 0.500


A geometry-optimized In2HgMo structure, computed with PBE.

Values from the calculation:
- Energy relative to the elements: 0.361 eV per atom
- Fermi-level density of states: 0.300 states/eV per atom

a = 5.493 Å, b = 5.493 Å, c = 5.493 Å
α = 135.24°, β = 135.26°, γ = 65.14°
Positions (direct):
1 Hg 0.250 0.750 0.500
2 In 0.500 0.500 0.000
3 Mo 0.750 0.250 0.500
4 In 0.000 0.000 0.000


A geometry-optimized SmTlHgPd structure, computed with PBE.

Values from the calculation:
- Energy relative to the elements: -0.430 eV per atom
- Fermi-level density of states: 0.740 states/eV per atom

a = 5.076 Å, b = 5.076 Å, c = 5.076 Å
α = 60.00°, β = 60.00°, γ = 60.00°
Positions (direct):
1 Tl 0.000 0.000 0.000
2 Sm 0.500 0.500 0.500
3 Hg 0.750 0.750 0.750
4 Pd 0.250 0.250 0.250


A geometry-optimized AgPIrO2 structure, computed with PBE.

Values from the calculation:
- Energy relative to the elements, uncorrected: 1.16 eV per atom
- Fermi-level density of states: 1.577 states/eV per atom

a = 3.774 Å, b = 3.774 Å, c = 5.589 Å
α = 90.00°, β = 90.00°, γ = 90.00°
Last column: magnetic moment on the atom in μB.
Positions (direct):
1 O 0.500 0.000 0.000  -0.05
2 Ag 0.000 0.000 0.000  -0.05
3 Ir 0.500 0.500 0.500  0.65
4 O 0.000 0.500 0.000  -0.05
5 P 0.000 0.000 0.500  0.00


A geometry-optimized CrCo4H5 structure, computed with PBE.

Values from the calculation:
- E: -5.477 eV per atom
- Fermi-level density of states: 0.676 states/eV per atom

a = 3.706 Å, b = 4.535 Å, c = 4.535 Å
α = 80.39°, β = 65.89°, γ = 65.88°
Last column: magnetic moment on the atom in μB.
Positions (direct):
1 Co 0.798 0.808 0.599  0.60
2 H 0.685 0.212 0.419  0.00
3 Co 0.397 0.401 0.808  0.60
4 H 0.105 0.581 0.212  0.00
5 H 0.317 0.788 0.581  0.00
6 Cr 0.001 0.000 0.000  -1.68
7 Co 0.204 0.192 0.401  0.60
8 H 0.897 0.419 0.788  0.00
9 H 0.501 0.000 0.000  0.01
10 Co 0.606 0.599 0.192  0.60


A geometry-optimized Ac2SnBi structure, computed with PBE.

Values from the calculation:
- Energy relative to the elements: -0.638 eV per atom
- Fermi-level density of states: 1.238 states/eV per atom

a = 5.872 Å, b = 5.872 Å, c = 5.872 Å
α = 60.00°, β = 60.00°, γ = 60.00°
Positions (direct):
1 Ac 0.750 0.750 0.750
2 Ac 0.250 0.250 0.250
3 Sn 0.500 0.500 0.500
4 Bi 0.000 0.000 0.000